Y4Er6Sc | PBE-GGA | relaxed

Output
As for the total magnetization: 0.02 μB/f.u. The density of states at the Fermi level comes out at 13.27 states/eV/f.u. The energy of formation is 302 meV per atom. The volume is 355.2 Å³/cell.

Cell lengths 6.4744, 6.4744, 9.6311 Å; angles 109.64, 109.64, 90.00 degrees
With the nearest neighbours (Å) after each atom.
Fractional positions:
Y 0.0446 0.6849 0.7295  1 Y 3.29, 7 Er 3.30-3.42
Y 0.9554 0.9554 0.2705  1 Y 3.29, 7 Er 3.30-3.42
Y 0.6849 0.0446 0.7295  1 Y 3.29, 7 Er 3.30-3.42
Y 0.3151 0.3151 0.2705  1 Y 3.29, 7 Er 3.30-3.42
Er 0.8513 0.4839 0.3351  1 Sc 3.30, 5 Y 3.34-3.42, 1 Er 3.36
Er 0.4839 0.8513 0.3351  1 Sc 3.30, 5 Y 3.34-3.42, 1 Er 3.36
Er 0.5161 0.5161 0.6649  1 Sc 3.30, 5 Y 3.34-3.42, 1 Er 3.36
Er 0.0000 0.5000 0.0000  2 Sc 3.24, 4 Y 3.30
Er 0.1487 0.1487 0.6649  1 Sc 3.30, 5 Y 3.34-3.42, 1 Er 3.36
Er 0.5000 0.0000 0.0000  2 Sc 3.24, 4 Y 3.30
Sc 0.5000 0.5000 0.0000  8 Er 3.24-3.30



Y2Er7Sc2 | PBE-GGA | relaxed

Output
As for the total magnetization: 0.00 μB/f.u. The density of states at the Fermi level comes out at 20.84 states/eV/f.u. The energy of formation is 116 meV per atom. The volume is 335.6 Å³/cell.

Cell lengths 8.3294, 6.4180, 6.4180 Å; angles 91.90, 81.81, 81.81 degrees
With the nearest neighbours (Å) after each atom.
Fractional positions:
Y 0.5000 0.3191 0.6809  1 Y 3.34, 2 Sc 3.35, 8 Er 3.38-3.54
Y 0.5000 0.6809 0.3191  1 Y 3.34, 2 Sc 3.35, 8 Er 3.38-3.54
Er 0.1965 0.0901 0.4602  3 Sc 3.31-3.35, 2 Y 3.38-3.54, 5 Er 3.41-3.64
Er 0.8035 0.5398 0.9099  3 Sc 3.31-3.35, 2 Y 3.38-3.54, 5 Er 3.41-3.64
Er 0.8035 0.9099 0.5398  3 Sc 3.31-3.35, 2 Y 3.38-3.54, 5 Er 3.41-3.64
Er 0.1965 0.4602 0.0901  3 Sc 3.31-3.35, 2 Y 3.38-3.54, 5 Er 3.41-3.64
Er 0.0000 0.0000 0.0000  10 Er 3.43-3.72, 2 Sc 3.49
Er 0.4116 0.8398 0.8398  1 Sc 3.34, 4 Y 3.41-3.42, 6 Er 3.43-3.64
Er 0.5884 0.1602 0.1602  1 Sc 3.34, 4 Y 3.41-3.42, 6 Er 3.43-3.64
Sc 0.8535 0.3950 0.3950  8 Er 3.31-3.49, 2 Y 3.35, 1 Sc 3.37
Sc 0.1465 0.6050 0.6050  8 Er 3.31-3.49, 2 Y 3.35, 1 Sc 3.37



Y3Er8Sc | PBE-GGA | relaxed

Output
As for the total magnetization: 0.00 μB/f.u. The density of states at the Fermi level comes out at 12.85 states/eV/f.u. The energy of formation is 745 meV per atom. The volume is 438.4 Å³/cell.

Cell lengths 7.5920, 7.5920, 9.3098 Å; angles 114.06, 114.06, 90.00 degrees
With the nearest neighbours (Å) after each atom.
Fractional positions:
Y 0.2500 0.7500 0.5000  8 Er 3.32
Y 0.5000 0.5000 0.0000  8 Er 3.31
Y 0.7500 0.2500 0.5000  8 Er 3.32
Er 0.8771 0.3666 0.2436  1 Sc 3.22, 3 Y 3.31-3.32
Er 0.3666 0.3666 0.2436  1 Sc 3.22, 3 Y 3.31-3.32
Er 0.1229 0.1229 0.7564  1 Sc 3.22, 3 Y 3.31-3.32
Er 0.6334 0.1229 0.7564  1 Sc 3.22, 3 Y 3.31-3.32
Er 0.3666 0.8771 0.2436  1 Sc 3.22, 3 Y 3.31-3.32
Er 0.8771 0.8771 0.2436  1 Sc 3.22, 3 Y 3.31-3.32
Er 0.6334 0.6334 0.7564  1 Sc 3.22, 3 Y 3.31-3.32
Er 0.1229 0.6334 0.7564  1 Sc 3.22, 3 Y 3.31-3.32
Sc 0.0000 0.0000 0.0000  8 Er 3.22



Y3ErSc4 | PBE-GGA | relaxed

Output
As for the total magnetization: 0.01 μB/f.u. The density of states at the Fermi level comes out at 12.71 states/eV/f.u. The energy of formation is 345 meV per atom. The volume is 236.2 Å³/cell.

Cell lengths 7.0292, 7.0292, 7.0292 Å; angles 110.65, 90.40, 129.82 degrees
With the nearest neighbours (Å) after each atom.
Fractional positions:
Y 0.5914 0.2052 0.7967  5 Sc 3.20-3.53, 1 Y 3.28, 2 Er 3.53
Y 0.9262 0.0000 0.9262  6 Sc 3.42-3.59, 2 Y 3.70
Y 0.5914 0.7948 0.3862  5 Sc 3.20-3.53, 1 Y 3.28, 2 Er 3.53
Er 0.9962 0.5000 0.4962  4 Sc 2.98-3.16
Sc 0.2817 0.6755 0.9573  3 Sc 2.81-2.98
Sc 0.2817 0.3245 0.6062  3 Sc 2.81-2.98
Sc 0.4773 0.2362 0.2411  4 Sc 2.82-3.15, 1 Er 2.98
Sc 0.0050 0.7638 0.2411  4 Sc 2.82-3.15, 1 Er 2.98